{
  "formula": "Rb3PmCr2O8",
  "functional": "PBE with a Hubbard U",
  "state": "relaxed",
  "dft_energy_ev_per_atom": -6.37,
  "magmom_total_mub_per_fu": 2.0,
  "spacegroup": "No. 164",
  "lattice": [[-3.2574, 5.0559, 1.1724], [-0.1861, -2.5408, -5.5729], [-6.2208, -4.5356, 2.2756]],
  "species": ["Rb", "Rb", "Rb", "Pm", "Cr", "Cr", "O", "O", "O", "O", "O", "O", "O", "O"],
  "frac_coords": [[0.3333, 0.6667, 0.6984], [0.6667, 0.3333, 0.3016], [0.0000, 0.0000, 0.0000], [0.0000, 0.0000, 0.5000], [0.3333, 0.6667, 0.2514], [0.6667, 0.3333, 0.7486], [0.3333, 0.6667, 0.0436], [0.6667, 0.3333, 0.9564], [0.1788, 0.8212, 0.3292], [0.8212, 0.1788, 0.6708], [0.1788, 0.3576, 0.3292], [0.8212, 0.6424, 0.6708], [0.6424, 0.8212, 0.3292], [0.3576, 0.1788, 0.6708]]
}